(1)
The following is a DFT calculation (PBE-GGA) of an optimized crystal structure of SrRePt2.

Properties
As for the theoretical density: 14.878 g cm⁻³. The calculation puts the formation energy at 0.6128 eV per atom.

a b c (Å): 6.668 6.668 6.668
angles (deg): 90.00 90.00 90.00
Space group F-43m (No. 216)
Unique sites:
Sr1 0.000 0.000 0.000
Re1 0.250 0.250 0.250
Pt1 0.000 0.000 0.500
Pt2 0.250 0.250 0.750

=====

(2)
The following is a DFT calculation (PBE-GGA) of an optimized crystal structure of BeAgRu.

Properties
As for the theoretical density: 9.126 g cm⁻³. The calculation puts the formation energy at 0.1694 eV per atom.

a b c (Å): 2.797 2.797 10.140
angles (deg): 90.00 90.00 90.00
Space group I4mm (No. 107)
Unique sites:
Be1 0.000 0.000 0.000
Ag1 0.000 0.000 0.333
Ru1 0.000 0.000 0.624

=====

(3)
The following is a DFT calculation (PBE-GGA) of an optimized crystal structure of MnTl2Ir.

Properties
As for the theoretical density: 13.948 g cm⁻³. The calculation puts the formation energy at 0.5964 eV per atom.

a b c (Å): 3.1840 3.1840 26.6826
angles (deg): 90.00 90.00 120.00
Space group R-3m (No. 166, hexagonal axes)
Unique sites:
Mn1 0.0000 0.0000 0.0000
Tl1 0.0000 0.0000 0.2482
Ir1 0.0000 0.0000 0.5000

=====

> theoretical density of number 3 (MnTl2Ir)?

13.948 g cm⁻³